{"formula": "CsNb3Sn", "functional": "SCAN", "state": "PBEsol geometry", "lattice": [[5.2208, 0.0000, 0.0000], [0.0000, 5.2208, 0.0000], [0.0000, 0.0000, 5.2208]], "species": ["Cs", "Nb", "Nb", "Nb", "Sn"], "fractional_positions": [[0.0000, 0.0000, 0.0000], [0.0000, 0.5000, 0.5000], [0.5000, 0.0000, 0.5000], [0.5000, 0.5000, 0.0000], [0.5000, 0.5000, 0.5000]], "volume_a3_per_cell": 142.3, "sg": "No. 221", "magmom_total_mub_per_atom": 0.00, "delta_e_f_ev_per_atom": 1.93}

=====

{"formula": "MgCd2In", "functional": "SCAN", "state": "PBEsol geometry", "lattice": [[3.1691, 0.0000, 0.0000], [0.0000, 3.1691, 0.0000], [0.0000, 0.0000, 8.7145]], "species": ["Mg", "Cd", "Cd", "In"], "fractional_positions": [[0.0000, 0.0000, 0.0000], [0.0000, 0.0000, 0.4764], [0.5000, 0.5000, 0.2348], [0.5000, 0.5000, 0.7405]], "volume_a3_per_cell": 87.5, "sg": "No. 99", "magmom_total_mub_per_atom": 0.00, "delta_e_f_ev_per_atom": -0.06}

=====

{"formula": "NaSc3Ga", "functional": "SCAN", "state": "PBEsol geometry", "lattice": [[5.1837, 0.0000, 0.0000], [0.0000, 5.1837, 0.0000], [0.0000, 0.0000, 5.1837]], "species": ["Na", "Sc", "Sc", "Sc", "Ga"], "fractional_positions": [[0.0000, 0.0000, 0.0000], [0.0000, 0.5000, 0.5000], [0.5000, 0.0000, 0.5000], [0.5000, 0.5000, 0.0000], [0.5000, 0.5000, 0.5000]], "volume_a3_per_cell": 139.3, "sg": "No. 221", "magmom_total_mub_per_atom": 0.46, "delta_e_f_ev_per_atom": 0.18}

=====

{"formula": "Ba3WCl", "functional": "SCAN", "state": "PBEsol geometry", "lattice": [[5.8836, 0.0000, 0.0000], [0.0000, 5.8836, 0.0000], [0.0000, 0.0000, 5.8836]], "species": ["Ba", "Ba", "Ba", "W", "Cl"], "fractional_positions": [[0.0000, 0.0000, 0.5000], [0.0000, 0.5000, 0.0000], [0.5000, 0.0000, 0.0000], [0.0000, 0.0000, 0.0000], [0.5000, 0.5000, 0.5000]], "volume_a3_per_cell": 203.7, "sg": "No. 221", "magmom_total_mub_per_atom": 0.00, "raw_formation_energy_ev_per_atom": 0.3376}

=====

{"formula": "AlCdPb2", "functional": "SCAN", "state": "PBEsol geometry", "lattice": [[3.4168, 0.0000, 0.0000], [0.0000, 3.4168, 0.0000], [0.0000, 0.0000, 8.6000]], "species": ["Al", "Cd", "Pb", "Pb"], "fractional_positions": [[0.0000, 0.0000, 0.0000], [0.0000, 0.0000, 0.5000], [0.5000, 0.5000, 0.2383], [0.5000, 0.5000, 0.7617]], "volume_a3_per_cell": 100.4, "sg": "No. 123", "magmom_total_mub_per_atom": 0.00, "delta_e_f_ev_per_atom": 0.18}

=====

{"formula": "Li2PmGa", "functional": "SCAN", "state": "PBEsol geometry", "lattice": [[0.0000, 3.3164, 3.3164], [3.3164, 0.0000, 3.3164], [3.3164, 3.3164, 0.0000]], "species": ["Li", "Li", "Pm", "Ga"], "fractional_positions": [[0.2500, 0.2500, 0.2500], [0.7500, 0.7500, 0.7500], [0.0000, 0.0000, 0.0000], [0.5000, 0.5000, 0.5000]], "volume_a3_per_cell": 73.0, "sg": "No. 225", "magmom_total_mub_per_atom": 0.00, "delta_e_f_ev_per_atom": -0.31}